Computed, not measured: a geometry-optimized BeAsNF2 structure at the PBE level of DFT.

## Properties
The formation energy (no corrections) comes out at 1.8 kcal/mol of atoms. As for the total DFT energy (no corrections): -4.0105 eV per atom. As for the density of states at the Fermi level: 1.591 states/eV per cell. The value obtained for the excess energy over the best structure of this formula in the dataset is 1156 meV/atom. The size of the total moment comes out at 0.00 μB/f.u. Its volume is 67.3 Å³/cell. The crystal system is tetragonal.

abc: 4.0490 4.0490 4.1066
angles: 90.00 90.00 90.00
Last column: nearest neighbours and their distance in Å.
Space group P4/mmm (No. 123)
Asymmetric unit:
Be 0.0000 0.0000 0.0000  4 N 2.86, 8 F 2.88
As 0.5000 0.5000 0.5000  4 F 2.02, 2 N 2.05
N 0.5000 0.5000 0.0000  2 As 2.05
F 0.0000 0.5000 0.5000  2 As 2.02

---

Computed, not measured: a geometry-optimized NaBe2AsF structure at the PBE level of DFT.

## Properties
The formation energy (no corrections) comes out at 3.8 kcal/mol of atoms. As for the total DFT energy (no corrections): -2.8946 eV per atom. As for the density of states at the Fermi level: 1.825 states/eV per cell. The size of the total moment comes out at 0.00 μB/f.u. Its volume is 78.8 Å³/cell. The crystal system is tetragonal.

abc: 3.7760 3.7760 5.5276
angles: 90.00 90.00 90.00
Last column: nearest neighbours and their distance in Å.
Space group P4/mmm (No. 123)
Asymmetric unit:
Na 0.0000 0.0000 0.0000  4 As 2.67
Be 0.0000 0.5000 0.5000  2 F 1.89
As 0.5000 0.5000 0.0000  4 Na 2.67, 2 F 2.76
F 0.5000 0.5000 0.5000  4 Be 1.89

---

Number 1: theoretical density 3.353 g cm⁻³. Number 2: theoretical density 2.843 g cm⁻³.